Entry 1:
Compound: Tc2OsCl
Source: the Alexandria database
Functional: SCAN
Structure: single point on PBEsol structure

abc: 2.8150 3.9175 5.1895
angles: 90.00 105.29 90.00
Closest atoms and distances in Å follow each position.
Fractional positions:
Cl  0.5000  0.5000  0.0000  4 Tc 2.40, 2 Os 2.59
Tc  0.8632  0.0000  0.2402  2 Cl 2.40, 1 Tc 2.60
Tc  0.1368  0.0000  0.7598  2 Cl 2.40, 1 Tc 2.60
Os  0.5000  0.5000  0.5000  2 Cl 2.59, 8 Tc 2.73-2.76, 2 Os 2.81

Results
- Calculated density: 12.684 Mg/m³
- Symmetry: No. 10
- ΔE_f (raw): 0.645 eV per atom
- Uncorrected energy: -36.849 eV/atom
- Crystal system: monoclinic
- Fermi-level density of states: 2.9 states/eV/f.u.

=====

Entry 2:
Compound: CsAlBr2
Source: the Alexandria database
Functional: SCAN
Structure: single point on PBEsol structure

abc: 4.7908 4.7908 9.8506
angles: 75.93 75.93 60.00
Closest atoms and distances in Å follow each position.
Fractional positions:
Cs  0.0000  0.0000  0.0000  2 Br 3.23
Al  0.5000  0.5000  0.5000  6 Br 3.15
Br  0.8862  0.8862  0.3413  3 Al 3.15, 1 Cs 3.23
Br  0.1138  0.1138  0.6587  3 Al 3.15, 1 Cs 3.23

Results
- Calculated density: 2.825 Mg/m³
- Symmetry: No. 166
- ΔE_f (raw): -0.641 eV per atom
- Uncorrected energy: -21.761 eV/atom
- Crystal system: trigonal
- Fermi-level density of states: 1.1 states/eV/f.u.

=====

Entry 3:
Compound: K3NaP2O6F2
Source: the Alexandria database
Functional: SCAN
Structure: single point on PBEsol structure

abc: 5.7374 5.7374 7.3626
angles: 90.00 90.00 120.00
Closest atoms and distances in Å follow each position.
Fractional positions:
Na  0.0000  0.0000  0.0000  6 O 2.38
O  0.1849  0.8151  0.2062  1 P 1.52
O  0.3698  0.1849  0.7938  1 P 1.52
O  0.8151  0.1849  0.7938  1 P 1.52
O  0.8151  0.6302  0.7938  1 P 1.52
O  0.6302  0.8151  0.2062  1 P 1.52
O  0.1849  0.3698  0.2062  1 P 1.52
K  0.3333  0.6667  0.8311  1 F 2.60, 6 O 2.89
K  0.6667  0.3333  0.1689  1 F 2.60, 6 O 2.89
K  0.0000  0.0000  0.5000  6 O 2.84
P  0.3333  0.6667  0.2551  3 O 1.52, 1 F 1.64
P  0.6667  0.3333  0.7449  3 O 1.52, 1 F 1.64
F  0.6667  0.3333  0.5218  1 P 1.64
F  0.3333  0.6667  0.4782  1 P 1.64

Results
- Calculated density: 2.660 Mg/m³
- Symmetry: No. 164
- ΔE_f (raw): -2.642 eV per atom
- Uncorrected energy: -9.389 eV/atom
- Crystal system: trigonal
- Fermi-level density of states: 0.0 states/eV/f.u.

=====

Entry 4:
Compound: AlCrTc
Source: the Alexandria database
Functional: SCAN
Structure: single point on PBEsol structure

abc: 2.6237 2.6237 6.4031
angles: 97.33 97.33 112.17
Closest atoms and distances in Å follow each position.
Fractional positions:
Cr  0.6693  0.6693  0.3386  2 Tc 2.46, 2 Al 2.54, 4 Cr 2.62
Al  0.0030  0.0030  0.0060  2 Cr 2.54, 4 Al 2.62, 2 Tc 2.63
Tc  0.3277  0.3277  0.6554  2 Cr 2.46, 4 Tc 2.62, 2 Al 2.63

Results
- Calculated density: 7.396 Mg/m³
- Symmetry: No. 42
- Uncorrected energy: -20.467 eV/atom
- Crystal system: orthorhombic
- Fermi-level density of states: 1.8 states/eV/f.u.
- DFT formation energy: -0.07 eV/atom

=====

Entry 5:
Compound: Hg2SbAu
Source: the Alexandria database
Functional: SCAN
Structure: single point on PBEsol structure

abc: 3.7557 4.2666 6.8660
angles: 104.10 90.00 116.11
Closest atoms and distances in Å follow each position.
Fractional positions:
Au  0.2487  0.4974  0.7434  3 Sb 2.74-2.76, 3 Hg 2.84-2.86
Hg  0.7476  0.4952  0.2413  3 Hg 2.93-2.94, 3 Sb 3.06-3.07
Hg  0.9938  0.9877  0.9810  3 Au 2.84-2.86, 3 Hg 2.93-2.94
Sb  0.5099  0.0198  0.5343  3 Au 2.74-2.76, 3 Hg 3.06-3.07

Results
- Calculated density: 12.572 Mg/m³
- Symmetry: No. 8
- ΔE_f (raw): 0.006 eV per atom
- Uncorrected energy: -60.681 eV/atom
- Crystal system: monoclinic
- Fermi-level density of states: 1.9 states/eV/f.u.

=====

Entry 6:
Compound: Ba2ErInSe5
Source: the Alexandria database
Functional: SCAN
Structure: single point on PBEsol structure

abc: 4.2338 9.5588 13.1928
angles: 90.00 90.00 102.79
Closest atoms and distances in Å follow each position.
Fractional positions:
Se  0.9487  0.8973  0.9453  2 In 2.61
Se  0.3561  0.7121  0.4996  1 Er 2.72
Se  0.0513  0.1027  0.4453  2 In 2.61
Se  0.4948  0.9897  0.7356  1 In 2.53
Se  0.5052  0.0103  0.2356  1 In 2.53
Se  0.6880  0.3760  0.6311  1 In 2.71, 2 Er 2.91
Se  0.3120  0.6240  0.1311  1 In 2.71, 2 Er 2.91
Se  0.6439  0.2879  0.9996  1 Er 2.72
Se  0.7081  0.4162  0.3450  2 Er 2.80
Se  0.2919  0.5838  0.8450  2 Er 2.80
In  0.4485  0.8969  0.0614  4 Se 2.53-2.71
In  0.5515  0.1031  0.5614  4 Se 2.53-2.71
Ba  0.1330  0.2661  0.1871  7 Se 3.25-3.42
Ba  0.8816  0.7632  0.3175  8 Se 3.24-3.58
Ba  0.8670  0.7339  0.6871  7 Se 3.25-3.42
Ba  0.1184  0.2368  0.8175  8 Se 3.24-3.58
Er  0.2108  0.4215  0.4835  6 Se 2.72-3.01
Er  0.7892  0.5785  0.9835  6 Se 2.72-3.01

Results
- Calculated density: 6.069 Mg/m³
- Symmetry: No. 36
- ΔE_f (raw): -1.843 eV per atom
- Uncorrected energy: -31.090 eV/atom
- Crystal system: orthorhombic
- Fermi-level density of states: 0.0 states/eV/f.u.

=====

Entry 7:
Compound: Mg2CrAu
Source: the Alexandria database
Functional: SCAN
Structure: single point on PBEsol structure

abc: 4.0033 4.1389 4.1389
angles: 90.00 90.00 90.00
Closest atoms and distances in Å follow each position.
Fractional positions:
Cr  0.5000  0.0000  0.0000  8 Mg 2.88, 4 Au 2.93
Mg  0.0000  0.5000  0.0000  4 Au 2.88, 4 Cr 2.88, 4 Mg 2.93
Mg  0.0000  0.0000  0.5000  4 Au 2.88, 4 Cr 2.88, 4 Mg 2.93
Au  0.5000  0.5000  0.5000  8 Mg 2.88, 4 Cr 2.93

Results
- Calculated density: 7.205 Mg/m³
- Symmetry: No. 123
- Uncorrected energy: -24.711 eV/atom
- Crystal system: tetragonal
- Fermi-level density of states: 1.3 states/eV/f.u.
- DFT formation energy: -0.34 eV/atom

=====

Entry 8:
Compound: ReTe3S
Source: the Alexandria database
Functional: SCAN
Structure: single point on PBEsol structure

abc: 5.1211 5.1211 5.1211
angles: 90.00 90.00 90.00
Closest atoms and distances in Å follow each position.
Fractional positions:
Re  0.0000  0.0000  0.0000  6 Te 2.56
Te  0.0000  0.5000  0.0000  2 Re 2.56
Te  0.0000  0.0000  0.5000  2 Re 2.56
Te  0.5000  0.0000  0.0000  2 Re 2.56
S  0.5000  0.5000  0.5000  12 Te 3.62

Results
- Calculated density: 7.432 Mg/m³
- Symmetry: No. 221
- ΔE_f (raw): 0.879 eV per atom
- Uncorrected energy: -37.616 eV/atom
- Crystal system: cubic
- Fermi-level density of states: 6.0 states/eV/f.u.

=====

Q: What is the Fermi-level density of states in the fifth record?
A: 1.9 states/eV/f.u.

=====

Q: Among the records above, which one has the highest uncorrected energy?
A: K3NaP2O6F2